# SmHo10Er4, relaxed, DFT GGA-PBE
data_SmHo10Er4
_chemical_formula_sum 'Sm2 Ho20 Er8'
_cell_length_a 12.0544
_cell_length_b 12.0544
_cell_length_c 7.6363
_cell_angle_alpha 90.00
_cell_angle_beta 90.00
_cell_angle_gamma 90.00
_space_group_name_H-M_alt 'I 4/m'
_space_group_IT_number 87
_space_group_name_Hall '-I 4'
loop_
_atom_site_label
_atom_site_type_symbol
_atom_site_fract_x
_atom_site_fract_y
_atom_site_fract_z
_atom_site_occupancy
Sm1 Sm 0.0000 0.0000 0.0000 1
Ho1 Ho 0.0000 0.5000 0.2500 1
Ho2 Ho 0.1008 0.2009 0.2517 1
Er1 Er 0.0996 0.6992 0.5000 1
# Final energy ... -115.62 eV per cell
# E_form ... 0.73 eV per atom